[1]
Below is an optimized crystal structure of SrBPd3, with properties calculated at the PBEsol level.

a = 4.318 Å, b = 4.318 Å, c = 4.318 Å
α = 90.00°, β = 90.00°, γ = 90.00°
Positions (direct):
1 Sr 0.000 0.000 0.000
2 B 0.500 0.500 0.500
3 Pd 0.000 0.500 0.500
4 Pd 0.500 0.000 0.500
5 Pd 0.500 0.500 0.000

Values from the calculation:
The energy relative to the elements comes out at -0.455 eV/atom. As for the density of states at the Fermi level: 4.158 states/eV/cell. The crystal system is cubic.


[2]
Below is an optimized crystal structure of YTaBPd2, with properties calculated at the PBEsol level.

a = 4.809 Å, b = 4.809 Å, c = 4.294 Å
α = 90.00°, β = 90.00°, γ = 90.00°
Positions (direct):
1 Y 0.000 0.000 0.000
2 Ta 0.500 0.500 0.500
3 B 0.500 0.500 0.000
4 Pd 0.000 0.500 0.500
5 Pd 0.500 0.000 0.500

Values from the calculation:
The energy relative to the elements comes out at 0.472 eV/atom. As for the density of states at the Fermi level: 4.490 states/eV/cell. The crystal system is tetragonal.


[3]
Below is an optimized crystal structure of BTePd2W, with properties calculated at the PBEsol level.

a = 4.059 Å, b = 4.059 Å, c = 4.836 Å
α = 90.00°, β = 90.00°, γ = 90.00°
Positions (direct):
1 B 0.000 0.000 0.000
2 Te 0.000 0.000 0.500
3 Pd 0.000 0.500 0.000
4 Pd 0.500 0.000 0.000
5 W 0.500 0.500 0.500

Values from the calculation:
As for the density of states at the Fermi level: 4.480 states/eV/cell. The formation energy without anion corrections comes out at 0.83 eV per atom. The crystal system is tetragonal.